1.
Compound: Na2CdRhO4
Source: Alexandria via LeMat-Bulk
Functional: GGA-PBE
Structure: relaxed

Structure (extended XYZ):
```
8
Lattice="-2.236 -1.119 -2.031 -0.540 -4.754 3.214 -3.621 4.065 1.748" Properties=species:S:1:pos:R:3 pbc="T T T"
Cd 0.000 0.000 0.000
O -3.024 1.821 2.326
O -1.138 -2.510 2.636
O -2.018 -1.041 0.240
O -4.380 -0.767 2.691
Na -2.081 -0.345 2.481
Na -2.928 1.473 -0.141
Rh -1.388 -2.936 0.592
```

Values from the calculation:
ΔE_f (raw)	-1.128	eV per atom

2.
Compound: Li3Ga4Sn2
Source: Alexandria via LeMat-Bulk
Functional: GGA-PBE
Structure: relaxed

Structure (extended XYZ):
```
18
Lattice="5.895 -0.112 -0.080 0.329 7.847 -0.564 0.329 1.995 7.610" Properties=species:S:1:pos:R:3 pbc="T T T"
Ga 0.505 6.193 0.814
Sn 0.598 6.385 5.758
Li 1.802 4.915 3.472
Ga 3.543 5.340 6.115
Ga 6.047 3.537 6.152
Sn 5.955 3.345 1.208
Ga 5.956 2.164 3.840
Ga 0.596 7.565 3.125
Ga 3.100 7.020 1.406
Li 4.534 8.303 6.648
Li 4.966 0.704 1.207
Li 4.750 4.815 3.493
Ga 3.009 4.389 0.851
Li 1.586 9.025 5.759
Ga 3.452 2.709 5.560
Sn 3.545 7.452 4.149
Li 2.019 1.426 0.318
Sn 3.007 2.278 2.817
```

Values from the calculation:
formation enthalpy at 0 K	-3.48	kcal/mol of atoms

3.
Compound: ErZrTaN3
Source: Alexandria via LeMat-Bulk
Functional: GGA-PBE
Structure: relaxed

Structure (extended XYZ):
```
12
Lattice="-1.321 2.786 0.993 -4.201 -0.685 -3.668 -2.905 -3.829 6.880" Properties=species:S:1:pos:R:3 pbc="T T T"
Er -2.702 -0.731 1.099
Zr -3.691 -0.013 -2.234
N -3.557 -0.032 3.283
N -6.785 -3.171 2.511
N -3.818 1.067 -0.148
N -4.609 -2.795 4.353
Zr -4.737 -1.716 6.438
N -1.643 1.442 1.693
Er -5.725 -0.997 3.106
Ta -5.718 0.093 0.057
N -4.871 -1.696 0.921
Ta -2.710 -1.821 4.147
```

Values from the calculation:
ΔE_f (raw)	-1.524	eV per atom